RbBa2ZnCl | SCAN | PBEsol geometry

Lattice parameters (Å, degrees): 6.914 6.914 5.529 90.00 90.00 90.00
Space group P4/mmm (No. 123)
Asymmetric unit:
Rb 0.000 0.000 0.000
Ba 0.000 0.500 0.000
Zn 0.500 0.500 0.500
Cl 0.000 0.000 0.500

The value obtained for the uncorrected formation energy is 0.2 eV per formula unit. The value obtained for the density of states at the Fermi level is 3.7 states/eV/cell. The calculation puts the total magnetization at 0.00 μB per cell. Its crystal system is tetragonal.